[1]
## Pr6YHg2 (PBE-GGA)

Data for a geometry-optimized Pr6YHg2 structure.

## Properties
- Space-group type: C2/m, No. 12
- E_form: -216 meV/atom

Unit cell a=3.822 b=6.828 c=12.104 alpha=75.73 beta=80.92 gamma=73.75
Positions (direct):
Hg (0.637, 0.919, 0.808)
Y (0.000, 0.000, 0.000)
Pr (0.314, 0.497, 0.876)
Pr (0.309, 0.790, 0.592)
Pr (0.691, 0.210, 0.408)
Pr (0.977, 0.710, 0.335)
Pr (0.686, 0.503, 0.124)
Hg (0.363, 0.081, 0.192)
Pr (0.023, 0.290, 0.665)

=====

[2]
## Si4SbO10 (PBE-GGA)

Data for a geometry-optimized Si4SbO10 structure.

## Properties
- Space-group type: P4/ncc, No. 130

Unit cell a=7.416 b=7.416 c=16.656 alpha=90.00 beta=90.00 gamma=90.00
Site moments in Bohr magnetons follow the coordinates.
Positions (direct):
O (0.208, 0.208, 0.750)  0.01
O (0.101, 0.264, 0.900)  0.10
Si (0.827, 0.744, 0.656)  0.00
Sb (0.000, 0.500, 0.935)  0.24
Si (0.744, 0.827, 0.844)  0.00
Si (0.244, 0.673, 0.656)  0.00
O (0.251, 0.958, 0.863)  0.01
O (0.749, 0.042, 0.863)  0.01
O (0.264, 0.899, 0.100)  0.10
O (0.708, 0.708, 0.250)  0.01
Si (0.327, 0.756, 0.844)  0.00
O (0.249, 0.458, 0.637)  0.01
O (0.458, 0.249, 0.863)  0.01
O (0.736, 0.101, 0.100)  0.10
O (0.764, 0.601, 0.400)  0.10
O (0.751, 0.458, 0.137)  0.01
O (0.736, 0.899, 0.600)  0.10
Si (0.173, 0.744, 0.156)  0.00
O (0.899, 0.264, 0.400)  0.10
Sb (0.500, 0.000, 0.065)  0.24
O (0.749, 0.958, 0.363)  0.01
O (0.292, 0.708, 0.750)  0.01
O (0.101, 0.736, 0.400)  0.10
O (0.042, 0.251, 0.137)  0.01
O (0.042, 0.749, 0.637)  0.01
O (0.751, 0.542, 0.637)  0.01
O (0.958, 0.749, 0.137)  0.01
O (0.399, 0.236, 0.100)  0.10
O (0.601, 0.764, 0.100)  0.10
O (0.264, 0.101, 0.600)  0.10
O (0.251, 0.042, 0.363)  0.01
O (0.958, 0.251, 0.637)  0.01
Si (0.244, 0.327, 0.156)  0.00
O (0.708, 0.292, 0.750)  0.01
O (0.792, 0.208, 0.250)  0.01
O (0.542, 0.249, 0.363)  0.01
Si (0.756, 0.673, 0.156)  0.00
Si (0.327, 0.244, 0.344)  0.00
O (0.764, 0.399, 0.900)  0.10
O (0.458, 0.751, 0.363)  0.01
O (0.399, 0.764, 0.600)  0.10
Si (0.827, 0.256, 0.156)  0.00
O (0.292, 0.292, 0.250)  0.01
Si (0.673, 0.756, 0.344)  0.00
O (0.236, 0.399, 0.400)  0.10
O (0.899, 0.736, 0.900)  0.10
O (0.542, 0.751, 0.863)  0.01
Si (0.256, 0.173, 0.844)  0.00
O (0.249, 0.542, 0.137)  0.01
O (0.792, 0.792, 0.750)  0.01
Sb (0.000, 0.500, 0.435)  0.24
Si (0.256, 0.827, 0.344)  0.00
O (0.236, 0.601, 0.900)  0.10
Si (0.673, 0.244, 0.844)  0.00
O (0.601, 0.236, 0.600)  0.10
O (0.208, 0.792, 0.250)  0.01
Si (0.744, 0.173, 0.344)  0.00
Si (0.756, 0.327, 0.656)  0.00
Sb (0.500, 0.000, 0.565)  0.24
Si (0.173, 0.256, 0.656)  0.00

=====

[3]
## Cs2TbInF6 (PBE-GGA)

Data for a geometry-optimized Cs2TbInF6 structure.

## Properties
- Space-group type: P2_1/c, No. 14

Unit cell a=6.905 b=6.865 c=9.709 alpha=90.00 beta=90.35 gamma=90.00
Positions (direct):
F (0.934, 0.515, 0.222)
F (0.306, 0.749, 0.463)
F (0.806, 0.751, 0.963)
Tb (0.000, 0.500, 0.000)
In (0.000, 0.500, 0.500)
Cs (0.505, 0.520, 0.749)
F (0.066, 0.485, 0.778)
Cs (0.995, 0.020, 0.751)
F (0.194, 0.249, 0.037)
F (0.566, 0.015, 0.278)
F (0.747, 0.800, 0.534)
F (0.253, 0.200, 0.466)
Tb (0.500, 0.000, 0.500)
In (0.500, 0.000, 0.000)
F (0.753, 0.300, 0.966)
F (0.694, 0.251, 0.537)
F (0.247, 0.700, 0.034)
F (0.434, 0.985, 0.722)
Cs (0.005, 0.980, 0.249)
Cs (0.495, 0.480, 0.251)

=====

Number 1: E -37.7 eV per formula unit, D(E_F) 1.067 states/eV per atom. Number 2: E -110.6 eV per formula unit, D(E_F) 0.025 states/eV per atom. Number 3: E -51.3 eV per formula unit, D(E_F) 0.000 states/eV per atom.